No. 1
Density functional theory data (PBE) for Al3Cr20Si9 after structural relaxation.

Unit cell a=6.8580 b=6.8580 c=12.9153 alpha=90.00 beta=90.00 gamma=140.48
Last column: nearest neighbours and their distance in Å.
Positions (direct):
Al 0.0000 0.0000 0.0000  2 Al 2.32, 8 Cr 2.57
Al 0.0000 0.0000 0.5000  2 Si 2.32, 8 Cr 2.53
Al 0.5000 0.5000 0.0000  2 Al 2.32, 8 Cr 2.56-2.57
Cr 0.0908 0.4093 0.0788  1 Cr 2.34, 4 Si 2.41-2.60, 2 Al 2.57
Cr 0.1001 0.4099 0.4225  5 Si 2.40-2.64, 2 Cr 2.46-2.67, 1 Al 2.53
Cr 0.1723 0.3306 0.8413  4 Si 2.40-2.61, 1 Cr 2.41, 2 Al 2.56-2.57
Cr 0.1788 0.3330 0.6550  2 Cr 2.41-2.67, 5 Si 2.41-2.63, 1 Al 2.53
Cr 0.2500 0.7500 0.2518  2 Cr 2.32, 4 Si 2.44-2.45
Cr 0.2500 0.7500 0.7482  2 Cr 2.32, 4 Si 2.44-2.45
Cr 0.3306 0.1723 0.1587  4 Si 2.40-2.61, 1 Cr 2.41, 2 Al 2.56-2.57
Cr 0.3330 0.1788 0.3450  2 Cr 2.41-2.67, 5 Si 2.41-2.63, 1 Al 2.53
Cr 0.4093 0.0908 0.9212  1 Cr 2.34, 4 Si 2.41-2.60, 2 Al 2.57
Cr 0.4099 0.1001 0.5775  5 Si 2.40-2.64, 2 Cr 2.46-2.67, 1 Al 2.53
Cr 0.5901 0.8999 0.5775  5 Si 2.40-2.64, 2 Cr 2.46-2.67, 1 Al 2.53
Cr 0.5907 0.9092 0.9212  1 Cr 2.34, 4 Si 2.41-2.60, 2 Al 2.57
Cr 0.6670 0.8212 0.3450  2 Cr 2.41-2.67, 5 Si 2.41-2.63, 1 Al 2.53
Cr 0.6694 0.8277 0.1587  4 Si 2.40-2.61, 1 Cr 2.41, 2 Al 2.56-2.57
Cr 0.7500 0.2500 0.2518  2 Cr 2.32, 4 Si 2.44-2.45
Cr 0.7500 0.2500 0.7482  2 Cr 2.32, 4 Si 2.44-2.45
Cr 0.8212 0.6670 0.6550  2 Cr 2.41-2.67, 5 Si 2.41-2.63, 1 Al 2.53
Cr 0.8277 0.6694 0.8413  4 Si 2.40-2.61, 1 Cr 2.41, 2 Al 2.56-2.57
Cr 0.8999 0.5901 0.4225  5 Si 2.40-2.64, 2 Cr 2.46-2.67, 1 Al 2.53
Cr 0.9092 0.5907 0.0788  1 Cr 2.34, 4 Si 2.41-2.60, 2 Al 2.57
Si 0.0000 0.5000 0.5822  10 Cr 2.40-2.64
Si 0.0000 0.5000 0.9155  10 Cr 2.40-2.60
Si 0.1632 0.3295 0.2499  10 Cr 2.40-2.63
Si 0.3295 0.1632 0.7501  10 Cr 2.40-2.63
Si 0.5000 0.0000 0.0845  10 Cr 2.40-2.60
Si 0.5000 0.0000 0.4178  10 Cr 2.40-2.64
Si 0.5000 0.5000 0.5000  2 Al 2.32, 8 Cr 2.51
Si 0.6705 0.8368 0.7501  10 Cr 2.40-2.63
Si 0.8368 0.6705 0.2499  10 Cr 2.40-2.63

SG: No. 21
Electronic total energy in Ry/atom: -0.597

No. 2
Density functional theory data (PBE) for AlCr2Si after structural relaxation.

Unit cell a=4.6903 b=4.6903 c=2.5773 alpha=99.48 beta=99.48 gamma=113.56
Last column: nearest neighbours and their distance in Å.
Positions (direct):
Al 0.0000 0.0000 0.0000  4 Cr 2.48, 2 Si 2.57, 2 Al 2.58
Cr 0.0000 0.5000 0.5000  2 Al 2.48, 2 Si 2.48, 4 Cr 2.57-2.58
Cr 0.5000 0.0000 0.5000  2 Al 2.48, 2 Si 2.48, 4 Cr 2.57-2.58
Si 0.5000 0.5000 0.0000  4 Cr 2.48, 2 Al 2.57, 2 Si 2.58

SG: No. 12
Electronic total energy in Ry/atom: -0.525

No. 3
Density functional theory data (PBE) for AlCrSi2 after structural relaxation.

Unit cell a=3.1835 b=3.2009 c=5.2035 alpha=90.00 beta=90.00 gamma=90.00
Last column: nearest neighbours and their distance in Å.
Positions (direct):
Al 0.0000 0.0000 0.0000  2 Cr 2.60, 8 Si 2.65
Cr 0.0000 0.0000 0.5000  8 Si 2.57, 2 Al 2.60
Si 0.5000 0.5000 0.2658  1 Si 2.44, 4 Cr 2.57, 4 Al 2.65
Si 0.5000 0.5000 0.7342  1 Si 2.44, 4 Cr 2.57, 4 Al 2.65

SG: No. 47
Electronic total energy in Ry/atom: -0.444

No. 4
Density functional theory data (PBE) for AlCrSi2 after structural relaxation.

Unit cell a=2.7245 b=2.7245 c=7.4616 alpha=90.00 beta=90.00 gamma=96.70
Last column: nearest neighbours and their distance in Å.
Positions (direct):
Al 0.0000 0.0000 0.0000  4 Al 2.72, 8 Si 2.76-2.92
Cr 0.0000 0.0000 0.5000  8 Si 2.44-2.62, 4 Cr 2.72
Si 0.5000 0.5000 0.2798  4 Cr 2.44-2.62, 4 Si 2.72
Si 0.5000 0.5000 0.7202  4 Cr 2.44-2.62, 4 Si 2.72

SG: No. 65
Electronic total energy in Ry/atom: -0.440

No. 5
Density functional theory data (PBE) for Al2CrSi after structural relaxation.

Unit cell a=3.8403 b=3.8403 c=3.7792 alpha=90.00 beta=90.00 gamma=90.00
Last column: nearest neighbours and their distance in Å.
Positions (direct):
Al 0.0000 0.5000 0.0000  4 Si 2.69, 4 Cr 2.69, 4 Al 2.72
Al 0.5000 0.0000 0.0000  4 Si 2.69, 4 Cr 2.69, 4 Al 2.72
Cr 0.0000 0.0000 0.5000  8 Al 2.69, 4 Si 2.72
Si 0.5000 0.5000 0.5000  8 Al 2.69, 4 Cr 2.72

SG: No. 123
Electronic total energy in Ry/atom: -0.415

No. 6
Density functional theory data (PBE) for Al2CrSi after structural relaxation.

Unit cell a=2.6775 b=2.6775 c=7.9549 alpha=90.00 beta=90.00 gamma=96.71
Last column: nearest neighbours and their distance in Å.
Positions (direct):
Al 0.0000 0.0000 0.2324  4 Cr 2.57-2.72, 4 Al 2.68, 2 Si 2.77
Al 0.0000 0.0000 0.7676  4 Cr 2.57-2.72, 4 Al 2.68, 2 Si 2.77
Cr 0.5000 0.5000 0.0000  8 Al 2.57-2.72, 4 Cr 2.68
Si 0.5000 0.5000 0.5000  4 Si 2.68, 8 Al 2.77-2.92

SG: No. 65
Electronic total energy in Ry/atom: -0.405